(1)
The following is a DFT calculation (PBEsol) of a relaxed KYAl crystal.

Lattice parameters (Å, degrees): 8.0757 8.0757 8.0757 154.07 154.07 36.99
With the nearest neighbours (Å) after each atom.
Element x y z (fractional)
K: 0.0000 0.0000 0.0000  4 K 3.62, 4 Al 3.65
Y: 0.2682 0.2682 0.0000  4 Al 2.97
Al: 0.6697 0.6697 0.0000  4 Y 2.97

ΔE_f = 0.17 eV/atom
SG = I4mm, No. 107
calculated volume = 100.5 Å³/cell
total energy = -3.85 eV per atom
total magnetization = 0.00 μB per formula unit
D(E_F) = 3.06 states/eV/f.u.



(2)
The following is a DFT calculation (PBEsol) of a relaxed NiP2Cl crystal.

Lattice parameters (Å, degrees): 4.2729 4.2729 4.2729 60.00 60.00 60.00
With the nearest neighbours (Å) after each atom.
Element x y z (fractional)
Ni: 0.0000 0.0000 0.0000  4 P 2.62, 4 Cl 2.62
P: 0.5000 0.5000 0.5000  4 P 2.62, 4 Cl 2.62
P: 0.7500 0.7500 0.7500  4 Ni 2.62, 4 P 2.62
Cl: 0.2500 0.2500 0.2500  4 Ni 2.62, 4 P 2.62

ΔE_f (raw) = 2.191 eV per formula unit
SG = F-43m, No. 216
calculated volume = 55.2 Å³/cell
total energy = -4.39 eV per atom
total magnetization = 0.00 μB per formula unit
D(E_F) = 3.18 states/eV/f.u.



(3)
The following is a DFT calculation (PBEsol) of a relaxed MnNbGe2N crystal.

Lattice parameters (Å, degrees): 4.3050 4.3050 4.4984 90.00 90.00 90.00
With the nearest neighbours (Å) after each atom.
Element x y z (fractional)
Mn: 0.0000 0.0000 0.0000  4 Ge 2.15, 2 Nb 2.25
Nb: 0.0000 0.0000 0.5000  2 Mn 2.25
Ge: 0.0000 0.5000 0.0000  2 Mn 2.15
Ge: 0.5000 0.0000 0.0000  2 Mn 2.15
N: 0.5000 0.5000 0.5000  4 Nb 3.04, 8 Ge 3.11

ΔE_f (raw) = 5.577 eV per formula unit
SG = P4/mmm, No. 123
calculated volume = 83.4 Å³/cell
total energy = -6.68 eV per atom
total magnetization = 0.00 μB per formula unit
D(E_F) = 2.60 states/eV/f.u.